Record 1
The following is a PBE calculation of crystalline Na3Sr3Sn8 at its relaxed geometry, from the Alexandria database.

Cell: 4.6571 10.1410 10.1410 Å, 71.82 76.73 76.73°
Last column: nearest neighbours and their distance in Å.
Sites, in units of the cell vectors:
Sn 0.8461 0.5152 0.7927  4 Sn 3.03-3.30, 1 Na 3.12
Sn 0.1539 0.4848 0.2073  4 Sn 3.03-3.30, 1 Na 3.12
Sn 0.8461 0.7927 0.5152  4 Sn 3.03-3.30, 1 Na 3.12
Na 0.0000 0.8041 0.1959  6 Sn 3.12-3.31, 2 Na 3.29
Sr 0.7844 0.2156 0.2156  8 Sn 3.48-3.52
Sn 0.6497 0.0492 0.6513  3 Sn 3.03-3.17, 3 Na 3.31-3.34
Sn 0.3503 0.3487 0.9508  3 Sn 3.03-3.17, 3 Na 3.31-3.34
Sn 0.3503 0.9508 0.3487  3 Sn 3.03-3.17, 3 Na 3.31-3.34
Sr 0.5000 0.5000 0.5000  8 Sn 3.75
Sn 0.1539 0.2073 0.4848  4 Sn 3.03-3.30, 1 Na 3.12
Na 0.5000 0.0000 0.0000  4 Na 3.29, 4 Sn 3.34
Na 0.0000 0.1959 0.8041  6 Sn 3.12-3.31, 2 Na 3.29
Sr 0.2156 0.7844 0.7844  8 Sn 3.48-3.52
Sn 0.6497 0.6513 0.0492  3 Sn 3.03-3.17, 3 Na 3.31-3.34

Output
Symmetry: Immm (71)
Uncorrected energy in eV/atom: -3.2577
Density of states at the Fermi level in states/eV/f.u.: 6.88
ΔE_f in eV/f.u.: -4.582
Magnetization in μB/cell: 0.000



Record 2
The following is a PBE calculation of crystalline NaSr2Sn2 at its relaxed geometry, from the Alexandria database.

Cell: 9.9579 9.9579 3.5791 Å, 90.00 90.00 90.00°
Last column: nearest neighbours and their distance in Å.
Sites, in units of the cell vectors:
Na 0.5000 0.5000 0.0000  2 Na 3.58, 4 Sr 3.92
Na 0.0000 0.0000 0.0000  2 Na 3.58, 4 Sr 3.92
Sn 0.3268 0.1732 0.5000  6 Sr 3.34-3.51, 2 Sn 3.58
Sr 0.3731 0.8731 0.0000  6 Sn 3.34-3.51, 3 Sr 3.57-3.58
Sr 0.8731 0.6269 0.0000  6 Sn 3.34-3.51, 3 Sr 3.57-3.58
Sn 0.6732 0.8268 0.5000  6 Sr 3.34-3.51, 2 Sn 3.58
Sr 0.1269 0.3731 0.0000  6 Sn 3.34-3.51, 3 Sr 3.57-3.58
Sn 0.8268 0.3268 0.5000  6 Sr 3.34-3.51, 2 Sn 3.58
Sr 0.6269 0.1269 0.0000  6 Sn 3.34-3.51, 3 Sr 3.57-3.58
Sn 0.1732 0.6732 0.5000  6 Sr 3.34-3.51, 2 Sn 3.58

Output
Symmetry: P4/mbm (127)
Uncorrected energy in eV/atom: -2.8981
Density of states at the Fermi level in states/eV/f.u.: 2.38
ΔE_f in eV/f.u.: -1.802
Magnetization in μB/cell: 0.000



Record 3
The following is a PBE calculation of crystalline Na2SrSn at its relaxed geometry, from the Alexandria database.

Cell: 5.6253 4.8894 4.8894 Å, 90.00 90.00 90.00°
Last column: nearest neighbours and their distance in Å.
Sites, in units of the cell vectors:
Na 0.0000 0.0000 0.5000  4 Na 3.46, 4 Sn 3.73, 4 Sr 3.73
Na 0.0000 0.5000 0.0000  4 Na 3.46, 4 Sn 3.73, 4 Sr 3.73
Sn 0.5000 0.5000 0.5000  4 Sr 3.46, 8 Na 3.73
Sr 0.5000 0.0000 0.0000  4 Sn 3.46, 8 Na 3.73

Output
Symmetry: P4/mmm (123)
Uncorrected energy in eV/atom: -2.2686
Density of states at the Fermi level in states/eV/f.u.: 3.49
ΔE_f in eV/f.u.: -0.751
Magnetization in μB/cell: 0.212



Record 4
The following is a PBE calculation of crystalline NaSrSn6 at its relaxed geometry, from the Alexandria database.

Cell: 4.8071 4.8071 9.5860 Å, 90.00 90.00 90.00°
Last column: nearest neighbours and their distance in Å.
Sites, in units of the cell vectors:
Sn 0.0000 0.5000 0.2590  8 Sn 3.33-3.46, 2 Na 3.33, 2 Sr 3.46
Sn 0.5000 0.0000 0.2590  8 Sn 3.33-3.46, 2 Na 3.33, 2 Sr 3.46
Sn 0.5000 0.5000 0.0000  4 Sr 3.40, 8 Sn 3.46
Sr 0.0000 0.0000 0.0000  12 Sn 3.40-3.46
Na 0.0000 0.0000 0.5000  12 Sn 3.33-3.40
Sn 0.0000 0.5000 0.7410  8 Sn 3.33-3.46, 2 Na 3.33, 2 Sr 3.46
Sn 0.5000 0.5000 0.5000  8 Sn 3.33, 4 Na 3.40
Sn 0.5000 0.0000 0.7410  8 Sn 3.33-3.46, 2 Na 3.33, 2 Sr 3.46

Output
Symmetry: P4/mmm (123)
Uncorrected energy in eV/atom: -3.6071
Density of states at the Fermi level in states/eV/f.u.: 5.46
ΔE_f in eV/f.u.: -1.839
Magnetization in μB/cell: 0.000



Record 5
The following is a PBE calculation of crystalline Na3SrSn3 at its relaxed geometry, from the Alexandria database.

Cell: 8.1955 8.1955 8.1955 Å, 90.00 90.00 90.00°
Last column: nearest neighbours and their distance in Å.
Sites, in units of the cell vectors:
Sr 0.0000 0.0000 0.0000  12 Sn 4.58, 12 Na 4.58
Sr 0.5000 0.5000 0.5000  12 Sn 4.58, 12 Na 4.58
Na 0.0000 0.2500 0.5000  4 Sn 2.90
Na 0.5000 0.0000 0.7500  4 Sn 2.90
Sn 0.5000 0.2500 0.0000  4 Na 2.90
Na 0.7500 0.5000 0.0000  4 Sn 2.90
Sn 0.0000 0.5000 0.2500  4 Na 2.90
Na 0.0000 0.7500 0.5000  4 Sn 2.90
Na 0.5000 0.0000 0.2500  4 Sn 2.90
Sn 0.0000 0.5000 0.7500  4 Na 2.90
Sn 0.5000 0.7500 0.0000  4 Na 2.90
Na 0.2500 0.5000 0.0000  4 Sn 2.90
Sn 0.2500 0.0000 0.5000  4 Na 2.90
Sn 0.7500 0.0000 0.5000  4 Na 2.90

Output
Symmetry: Pm-3n (223)
Uncorrected energy in eV/atom: -2.1720
Density of states at the Fermi level in states/eV/f.u.: 4.37
ΔE_f in eV/f.u.: 2.443
Magnetization in μB/cell: 0.000



Record 6
The following is a PBE calculation of crystalline NaSr6Sn2 at its relaxed geometry, from the Alexandria database.

Cell: 7.8879 9.0647 10.9543 Å, 90.00 83.29 90.00°
Last column: nearest neighbours and their distance in Å.
Sites, in units of the cell vectors:
Sr 0.8735 0.6908 0.9222  1 Na 3.44, 2 Sn 3.50-3.68
Sr 0.3735 0.8092 0.4222  1 Na 3.44, 2 Sn 3.50-3.68
Sr 0.8305 0.9465 0.2272  2 Sn 3.40-3.42, 1 Na 3.45
Sr 0.1695 0.0535 0.7728  2 Sn 3.40-3.42, 1 Na 3.45
Sr 0.6265 0.1908 0.5778  1 Na 3.44, 2 Sn 3.50-3.68
Na 0.5000 0.5000 0.0000  6 Sr 3.44-3.52
Sr 0.8192 0.6491 0.5652  3 Sn 3.42-3.66, 1 Na 3.52
Na 0.0000 0.0000 0.5000  6 Sr 3.44-3.52
Sr 0.3192 0.8509 0.0652  3 Sn 3.42-3.66, 1 Na 3.52
Sr 0.6695 0.4465 0.2728  2 Sn 3.40-3.42, 1 Na 3.45
Sn 0.4491 0.1283 0.2437  7 Sr 3.40-3.68
Sr 0.1808 0.3509 0.4348  3 Sn 3.42-3.66, 1 Na 3.52
Sr 0.6808 0.1491 0.9348  3 Sn 3.42-3.66, 1 Na 3.52
Sr 0.3305 0.5535 0.7272  2 Sn 3.40-3.42, 1 Na 3.45
Sn 0.5509 0.8717 0.7563  7 Sr 3.40-3.68
Sn 0.0509 0.6283 0.2563  7 Sr 3.40-3.68
Sr 0.1265 0.3092 0.0778  1 Na 3.44, 2 Sn 3.50-3.68
Sn 0.9491 0.3717 0.7437  7 Sr 3.40-3.68

Output
Symmetry: P2_1/c (14)
Uncorrected energy in eV/atom: -2.4218
Density of states at the Fermi level in states/eV/f.u.: 7.07
ΔE_f in eV/f.u.: -2.381
Magnetization in μB/cell: 0.001



Record 7
The following is a PBE calculation of crystalline NaSr2SnTe4 at its relaxed geometry, from the Alexandria database.

Cell: 4.5953 8.0687 7.9679 Å, 108.46 90.00 90.00°
Last column: nearest neighbours and their distance in Å.
Sites, in units of the cell vectors:
Sn 0.0000 0.0000 0.0000  6 Te 3.12-3.20
Sr 0.5000 0.0000 0.5000  6 Te 3.30-3.31
Te 0.0000 0.7566 0.2361  1 Sn 3.12, 2 Na 3.26, 3 Sr 3.31-3.39
Te 0.0000 0.2434 0.7639  1 Sn 3.12, 2 Na 3.26, 3 Sr 3.31-3.39
Te 0.5000 0.7594 0.7662  2 Sn 3.20, 1 Na 3.21, 3 Sr 3.30-3.37
Sr 0.0000 0.5000 0.5000  6 Te 3.37-3.39
Na 0.5000 0.5000 0.0000  6 Te 3.21-3.26
Te 0.5000 0.2406 0.2338  2 Sn 3.20, 1 Na 3.21, 3 Sr 3.30-3.37

Output
Uncorrected formation energy in eV/atom: -1.03
Symmetry: P2/m (10)
Uncorrected energy in eV/atom: -3.6830
Density of states at the Fermi level in states/eV/f.u.: 6.83
Magnetization in μB/cell: 0.000



Record 8
The following is a PBE calculation of crystalline NaSrSn2Te4 at its relaxed geometry, from the Alexandria database.

Cell: 6.5985 6.5985 7.9064 Å, 116.36 116.36 86.33°
Last column: nearest neighbours and their distance in Å.
Sites, in units of the cell vectors:
Te 0.4472 0.9527 0.0000  2 Sn 3.17, 2 Na 3.28-3.32, 2 Sr 3.30
Te 0.6896 0.6896 0.4843  2 Sn 3.00, 1 Na 3.04, 1 Sr 3.23
Sn 0.1526 0.6526 0.5000  4 Te 3.00-3.17
Te 0.9527 0.4472 0.0000  2 Sn 3.17, 2 Na 3.28-3.32, 2 Sr 3.30
Sr 0.9475 0.9475 0.0000  6 Te 3.23-3.30
Sn 0.6526 0.1526 0.5000  4 Te 3.00-3.17
Te 0.2053 0.2053 0.5157  2 Sn 3.00, 1 Na 3.04, 1 Sr 3.23
Na 0.4499 0.4499 0.0000  6 Te 3.04-3.32

Output
Uncorrected formation energy in eV/atom: -0.71
Symmetry: Fmm2 (42)
Uncorrected energy in eV/atom: -3.6579
Density of states at the Fermi level in states/eV/f.u.: 3.98
Magnetization in μB/cell: 0.000



Record 9
The following is a PBE calculation of crystalline Na2SrSnTe4 at its relaxed geometry, from the Alexandria database.

Cell: 9.1483 9.1483 9.5792 Å, 121.56 121.56 90.23°
Last column: nearest neighbours and their distance in Å.
Sites, in units of the cell vectors:
Na 0.5000 0.5000 0.0000  6 Te 3.40-3.44
Sr 0.0000 0.5000 0.0000  6 Te 3.28-3.31
Te 0.7260 0.2567 0.4914  1 Sn 3.04, 2 Na 3.18-3.19, 2 Sr 3.28-3.29
Te 0.2546 0.2458 0.0236  2 Sn 3.07, 3 Na 3.19-3.40, 1 Sr 3.31
Na 0.0000 0.0000 0.5000  6 Te 3.40-3.44
Te 0.7454 0.7542 0.9764  2 Sn 3.07, 3 Na 3.19-3.40, 1 Sr 3.31
Na 0.5000 0.0000 0.0000  6 Te 3.18-3.19
Te 0.7458 0.7546 0.5236  2 Sn 3.07, 3 Na 3.19-3.40, 1 Sr 3.31
Te 0.2433 0.7740 0.0086  1 Sn 3.04, 2 Na 3.18-3.19, 2 Sr 3.28-3.29
Te 0.7567 0.2260 0.9914  1 Sn 3.04, 2 Na 3.18-3.19, 2 Sr 3.28
Te 0.2542 0.2454 0.4764  2 Sn 3.07, 3 Na 3.19-3.40, 1 Sr 3.31
Sn 0.5000 0.5000 0.5000  6 Te 3.04-3.07
Sr 0.0000 0.5000 0.5000  6 Te 3.28-3.31
Na 0.5000 0.0000 0.5000  6 Te 3.18-3.19
Sn 0.0000 0.0000 0.0000  6 Te 3.04-3.07
Te 0.2740 0.7433 0.5086  1 Sn 3.04, 2 Na 3.18-3.19, 2 Sr 3.28

Output
Uncorrected formation energy in eV/atom: -0.78
Symmetry: Imma (74)
Uncorrected energy in eV/atom: -3.3883
Density of states at the Fermi level in states/eV/f.u.: 3.28
Magnetization in μB/cell: 0.000



Record 10
The following is a PBE calculation of crystalline NaSrTlSn at its relaxed geometry, from the Alexandria database.

Cell: 5.5864 5.5864 5.5864 Å, 60.00 60.00 60.00°
Last column: nearest neighbours and their distance in Å.
Sites, in units of the cell vectors:
Na 0.5000 0.5000 0.5000  4 Tl 3.42, 4 Sn 3.42
Tl 0.7500 0.7500 0.7500  4 Na 3.42, 4 Sr 3.42
Sr 0.0000 0.0000 0.0000  4 Tl 3.42, 4 Sn 3.42
Sn 0.2500 0.2500 0.2500  4 Na 3.42, 4 Sr 3.42

Output
Symmetry: F-43m (216)
Uncorrected energy in eV/atom: -2.7041
Density of states at the Fermi level in states/eV/f.u.: 0.96
ΔE_f in eV/f.u.: -1.447
Magnetization in μB/cell: 0.000



Record 11
The following is a PBE calculation of crystalline NaSr2Zn3Sn4 at its relaxed geometry, from the Alexandria database.

Cell: 4.6813 4.6813 12.0426 Å, 90.00 90.00 90.00°
Last column: nearest neighbours and their distance in Å.
Sites, in units of the cell vectors:
Zn 0.0000 0.5000 0.1370  5 Sn 2.63-2.86
Zn 0.5000 0.0000 0.8630  5 Sn 2.63-2.86
Sn 0.5000 0.0000 0.6444  3 Zn 2.63-2.92, 2 Na 2.92
Sr 0.5000 0.0000 0.2440  6 Zn 3.55-3.87, 8 Sn 3.57-3.76, 2 Na 3.87
Zn 0.0000 0.0000 0.5000  4 Sn 2.92
Sn 0.5000 0.5000 0.0000  4 Zn 2.86
Sn 0.0000 0.0000 0.0000  4 Zn 2.86
Sr 0.0000 0.5000 0.7560  6 Zn 3.55-3.87, 8 Sn 3.57-3.76, 2 Na 3.87
Sn 0.0000 0.5000 0.3556  3 Zn 2.63-2.92, 2 Na 2.92
Na 0.5000 0.5000 0.5000  4 Sn 2.92

Output
Symmetry: P-4m2 (115)
Uncorrected energy in eV/atom: -2.7739
Density of states at the Fermi level in states/eV/f.u.: 4.72
ΔE_f in eV/f.u.: -3.223
Magnetization in μB/cell: 0.000



Record 12
The following is a PBE calculation of crystalline NaTaSn2 at its relaxed geometry, from the Alexandria database.

Cell: 3.2380 3.2380 10.8824 Å, 81.44 81.44 60.00°
Last column: nearest neighbours and their distance in Å.
Sites, in units of the cell vectors:
Sn 0.9060 0.9060 0.2819  3 Ta 2.99, 1 Na 3.02, 6 Sn 3.24
Sn 0.0940 0.0940 0.7181  3 Ta 2.99, 1 Na 3.02, 6 Sn 3.24
Na 0.0000 0.0000 0.0000  2 Sn 3.02, 6 Na 3.24
Ta 0.5000 0.5000 0.5000  6 Sn 2.99, 6 Ta 3.24

Output
Symmetry: R-3m (166)
Uncorrected energy in eV/atom: -5.1679
Density of states at the Fermi level in states/eV/f.u.: 1.38
ΔE_f in eV/f.u.: 0.506
Magnetization in μB/cell: 0.000